# 1
This record from Alexandria via LeMat-Bulk describes a relaxed structure of NbH2Cl. The functional is PBEsol.

a b c (Å): 5.375 5.375 5.375
angles (deg): 90.00 90.00 90.00
Fractional positions:
Nb 0.000 0.000 0.000
Nb 0.000 0.500 0.500
Nb 0.500 0.000 0.500
Nb 0.500 0.500 0.000
H 0.250 0.250 0.250
H 0.250 0.250 0.750
H 0.250 0.750 0.250
H 0.250 0.750 0.750
H 0.750 0.250 0.250
H 0.750 0.250 0.750
H 0.750 0.750 0.250
H 0.750 0.750 0.750
Cl 0.000 0.000 0.500
Cl 0.000 0.500 0.000
Cl 0.500 0.000 0.000
Cl 0.500 0.500 0.500

Total magnetization   0.11 μB/f.u.


# 2
This record from Alexandria via LeMat-Bulk describes a relaxed structure of KBaSe2. The functional is PBEsol.

a b c (Å): 4.140 4.140 6.816
angles (deg): 90.00 90.00 90.00
Fractional positions:
K 0.000 0.000 0.000
Ba 0.000 0.000 0.500
Se 0.500 0.500 0.261
Se 0.500 0.500 0.739

Raw formation energy   -1.308 eV/atom
Total magnetization   0.00 μB/f.u.


# 3
This record from Alexandria via LeMat-Bulk describes a relaxed structure of ZnCu2SnTe4. The functional is PBEsol.

a b c (Å): 6.077 6.077 12.108
angles (deg): 90.00 90.00 90.00
Fractional positions:
Zn 0.000 0.000 0.000
Zn 0.500 0.500 0.500
Cu 0.000 0.500 0.250
Cu 0.000 0.500 0.750
Cu 0.500 0.000 0.250
Cu 0.500 0.000 0.750
Sn 0.000 0.000 0.500
Sn 0.500 0.500 0.000
Te 0.238 0.238 0.138
Te 0.238 0.762 0.862
Te 0.262 0.262 0.638
Te 0.262 0.738 0.362
Te 0.738 0.262 0.362
Te 0.738 0.738 0.638
Te 0.762 0.238 0.862
Te 0.762 0.762 0.138

Raw formation energy   -0.169 eV/atom
Total magnetization   0.00 μB/f.u.


# 4
This record from Alexandria via LeMat-Bulk describes a relaxed structure of AlTl2F5. The functional is PBEsol.

a b c (Å): 6.185 6.185 3.718
angles (deg): 90.00 90.00 90.00
Fractional positions:
Al 0.000 0.000 0.000
Tl 0.000 0.500 0.500
Tl 0.500 0.000 0.500
F 0.000 0.000 0.500
F 0.206 0.206 0.000
F 0.206 0.794 0.000
F 0.794 0.206 0.000
F 0.794 0.794 0.000

Raw formation energy   -2.680 eV/atom
Total magnetization   0.00 μB/f.u.


# 5
This record from Alexandria via LeMat-Bulk describes a relaxed structure of AsPSe2Cl. The functional is PBEsol.

a b c (Å): 4.693 4.693 4.939
angles (deg): 90.00 90.00 90.00
Fractional positions:
As 0.000 0.000 0.000
P 0.000 0.000 0.500
Se 0.000 0.500 0.500
Se 0.500 0.000 0.500
Cl 0.500 0.500 0.000

Raw formation energy   0.531 eV/atom
Total magnetization   0.00 μB/f.u.


# 6
This record from Alexandria via LeMat-Bulk describes a relaxed structure of Li4ZnP2S8. The functional is PBEsol.

a b c (Å): 6.002 7.988 18.723
angles (deg): 90.21 90.07 90.16
Fractional positions:
Li 0.000 0.000 0.000
Li 0.001 0.004 0.351
Li 0.006 0.489 0.999
Li 0.012 0.980 0.663
Li 0.495 0.250 0.050
Li 0.499 0.233 0.717
Li 0.501 0.502 0.211
Li 0.506 0.504 0.868
Li 0.507 0.995 0.530
Li 0.508 0.994 0.217
Li 0.993 0.754 0.164
Li 0.999 0.498 0.673
Zn 0.012 0.484 0.341
Zn 0.511 0.972 0.870
Zn 0.515 0.505 0.542
P 0.002 0.264 0.502
P 0.015 0.243 0.169
P 0.498 0.727 0.378
P 0.515 0.742 0.044
P 0.523 0.752 0.710
P 0.997 0.230 0.831
S 0.346 0.262 0.503
S 0.348 0.229 0.841
S 0.356 0.244 0.170
S 0.363 0.748 0.809
S 0.383 0.735 0.482
S 0.388 0.943 0.335
S 0.396 0.504 0.334
S 0.402 0.752 0.147
S 0.403 0.530 0.663
S 0.403 0.532 0.993
S 0.403 0.957 0.992
S 0.412 0.957 0.656
S 0.841 0.734 0.367
S 0.855 0.747 0.721
S 0.856 0.744 0.042
S 0.869 0.260 0.400
S 0.896 0.007 0.876
S 0.898 0.443 0.878
S 0.899 0.045 0.543
S 0.901 0.246 0.065
S 0.901 0.485 0.548
S 0.903 0.461 0.218
S 0.905 0.036 0.221
S 0.911 0.231 0.726

Raw formation energy   -0.801 eV/atom
Total magnetization   0.00 μB/f.u.


# 7
This record from Alexandria via LeMat-Bulk describes a relaxed structure of K2Si3SnO9. The functional is PBEsol.

a b c (Å): 7.680 7.680 7.680
angles (deg): 83.21 83.21 83.21
Fractional positions:
K 0.000 0.000 0.000
K 0.272 0.508 0.724
K 0.508 0.724 0.272
K 0.724 0.272 0.508
Si 0.052 0.953 0.479
Si 0.397 0.986 0.604
Si 0.479 0.052 0.953
Si 0.604 0.397 0.986
Si 0.953 0.479 0.052
Si 0.986 0.604 0.397
Sn 0.274 0.274 0.274
Sn 0.755 0.755 0.755
O 0.009 0.816 0.342
O 0.054 0.148 0.374
O 0.148 0.374 0.054
O 0.181 0.496 0.395
O 0.248 0.874 0.541
O 0.342 0.009 0.816
O 0.374 0.054 0.148
O 0.395 0.181 0.496
O 0.496 0.395 0.181
O 0.541 0.248 0.874
O 0.576 0.583 0.865
O 0.583 0.865 0.576
O 0.652 0.909 0.954
O 0.816 0.342 0.009
O 0.865 0.576 0.583
O 0.874 0.541 0.248
O 0.909 0.954 0.652
O 0.954 0.652 0.909

E above lowest polymorph   0.000 eV per atom
Raw formation energy   -2.489 eV/atom
Total magnetization   0.00 μB/f.u.


# 8
This record from Alexandria via LeMat-Bulk describes a relaxed structure of Ca3TlP. The functional is PBEsol.

a b c (Å): 5.414 5.414 5.414
angles (deg): 90.00 90.00 90.00
Fractional positions:
Ca 0.000 0.000 0.500
Ca 0.000 0.500 0.000
Ca 0.500 0.000 0.000
Tl 0.500 0.500 0.500
P 0.000 0.000 0.000

E above lowest polymorph   0.109 eV per atom
Calculated formation energy   -633 meV per atom
Total magnetization   0.00 μB/f.u.


# 9
This record from Alexandria via LeMat-Bulk describes a relaxed structure of LaSiNi2. The functional is PBEsol.

a b c (Å): 3.972 3.972 14.813
angles (deg): 90.00 90.00 120.00
Fractional positions:
La 0.000 0.000 0.000
La 0.333 0.667 0.667
La 0.667 0.333 0.333
Si 0.000 0.000 0.500
Si 0.333 0.667 0.167
Si 0.667 0.333 0.833
Ni 0.000 0.000 0.198
Ni 0.000 0.000 0.802
Ni 0.333 0.667 0.468
Ni 0.333 0.667 0.865
Ni 0.667 0.333 0.135
Ni 0.667 0.333 0.532

Raw formation energy   -0.684 eV/atom
Total magnetization   0.00 μB/f.u.


# 10
This record from Alexandria via LeMat-Bulk describes a relaxed structure of ScTaAlBr2. The functional is PBEsol.

a b c (Å): 4.903 4.903 5.380
angles (deg): 90.00 90.00 90.00
Fractional positions:
Sc 0.000 0.000 0.000
Ta 0.500 0.500 0.500
Al 0.500 0.500 0.000
Br 0.000 0.500 0.500
Br 0.500 0.000 0.500

Raw formation energy   0.464 eV/atom
Total magnetization   0.50 μB/f.u.


# 11
This record from Alexandria via LeMat-Bulk describes a relaxed structure of ReOs2Pt. The functional is PBEsol.

a b c (Å): 9.063 2.711 4.740
angles (deg): 90.00 99.83 90.00
Fractional positions:
Re 0.000 0.000 0.000
Re 0.500 0.500 0.000
Os 0.244 0.500 0.239
Os 0.256 0.000 0.761
Os 0.744 0.000 0.239
Os 0.756 0.500 0.761
Pt 0.000 0.500 0.500
Pt 0.500 0.000 0.500

E above lowest polymorph   0.000 eV per atom
Calculated formation energy   59 meV per atom
Total magnetization   0.00 μB/f.u.


# 12
This record from Alexandria via LeMat-Bulk describes a relaxed structure of V3NiO8. The functional is PBEsol.

a b c (Å): 6.142 6.142 6.319
angles (deg): 106.10 106.10 35.17
Fractional positions:
V 0.000 0.000 0.000
V 0.105 0.105 0.584
V 0.306 0.306 0.021
Ni 0.409 0.409 0.601
O 0.060 0.060 0.282
O 0.147 0.147 0.935
O 0.256 0.256 0.651
O 0.341 0.341 0.291
O 0.468 0.468 0.956
O 0.575 0.575 0.589
O 0.833 0.833 0.981
O 0.947 0.947 0.654

Raw formation energy   -2.035 eV/atom
Total magnetization   2.98 μB/f.u.


The calculation returns the following DFT total energy values, one per record and in order: -4.28; -4.05; -3.75; -5.05; -3.59; -4.54; -7.22; -3.60; -6.54; -4.93; -11.12; -8.46 eV per atom.